First-principles (PBE-GGA) data for a relaxed SrSc2Ni crystal, as listed in Alexandria.

Computed properties:
theoretical density	3.442	g/cm³
energy of formation from the pure elements	-0.01	eV per atom
volume	28.494	Å³/atom
magnetization	0.00	μB per atom
VASP energy	-5.045	eV per atom

Unit cell a=9.1966 b=9.1966 c=9.1966 alpha=24.10 beta=24.10 gamma=24.10
Fractional positions:
Ni  0.7500  0.7500  0.7500
Sc  0.4643  0.4643  0.4643
Sc  0.0357  0.0357  0.0357
Sr  0.2500  0.2500  0.2500